1.
Below is an optimized crystal structure of KLi2NbHg, with properties calculated at the GGA-PBE level.

calculated volume: 152 Å³ per cell
size of the total moment: 3.082 μB per cell
mass density: 3.8 g/cm3
total energy: -2.433 eV/atom
D(E_F): 0.70 states/eV/atom

```
5
Lattice="5.2867 0.0000 0.0000 0.0000 5.2867 0.0000 0.0000 0.0000 5.4326" Properties=species:S:1:pos:R:3 pbc="T T T"
K 0.0000 0.0000 0.0000
Li 0.0000 2.6433 2.7163
Li 2.6433 0.0000 2.7163
Nb 2.6433 2.6433 0.0000
Hg 2.6433 2.6433 2.7163
```



2.
Below is an optimized crystal structure of KLiNiHg2, with properties calculated at the GGA-PBE level.

calculated volume: 128 Å³ per cell
size of the total moment: 0.000 μB per cell
mass density: 6.6 g/cm3
total energy: -1.944 eV/atom
D(E_F): 0.43 states/eV/atom

```
5
Lattice="5.1438 0.0000 0.0000 0.0000 5.1438 0.0000 0.0000 0.0000 4.8453" Properties=species:S:1:pos:R:3 pbc="T T T"
K 0.0000 0.0000 0.0000
Li 2.5719 2.5719 0.0000
Ni 2.5719 2.5719 2.4226
Hg 0.0000 2.5719 2.4226
Hg 2.5719 0.0000 2.4226
```



Question: The highest mass density belongs to which entry?
Answer: KLiNiHg2



Question: Which of these has the lowest mass density?
Answer: KLi2NbHg



Question: Among the records above, which one has the highest size of the total moment?
Answer: KLi2NbHg